Density functional theory data (PBE) for a relaxed Dy6AlPd2 crystal.

Properties
- Electronic total energy: -5.1500 eV per atom
- Total magnetic moment: 0.00 μB per cell

a b c (Å): 8.503 8.503 8.503
angles (deg): 105.08 110.78 112.65
Fractional coordinates of all 18 atoms:
Dy (0.534, 0.715, 0.819)
Dy (0.466, 0.285, 0.181)
Dy (0.104, 0.285, 0.819)
Dy (0.896, 0.715, 0.181)
Dy (0.807, 0.761, 0.568)
Dy (0.193, 0.239, 0.432)
Dy (0.193, 0.761, 0.955)
Dy (0.807, 0.239, 0.045)
Dy (0.702, 0.374, 0.672)
Dy (0.298, 0.626, 0.328)
Dy (0.298, 0.970, 0.672)
Dy (0.702, 0.030, 0.328)
Al (0.000, 0.500, 0.500)
Al (0.000, 0.000, 0.000)
Pd (0.500, 0.367, 0.867)
Pd (0.500, 0.633, 0.133)
Pd (0.660, 0.000, 0.660)
Pd (0.340, 0.000, 0.340)